# 1
# TaTi2CoPb

Crystalline TaTi2CoPb at its relaxed geometry (PBE, the Alexandria database).

abc: 4.743 5.342 4.743
angles: 90.00 90.00 90.00
Fractional positions:
1 Co 0.500 0.500 0.500
2 Ta 0.000 0.000 0.000
3 Pb 0.000 0.500 0.000
4 Ti 0.000 0.000 0.500
5 Ti 0.500 0.000 0.000

Results
Volume = 120 Å³/cell
Magnetization = 0.02 μB/cell
N(E_F) = 9.2 states/eV/cell
ρ = 7.50 Mg/m³
ΔE_f = 1482 meV/atom
Symmetry = P4/mmm (123)
Total energy = -31.05 eV/cell

***

# 2
# InRe2Sb

Crystalline InRe2Sb at its relaxed geometry (PBE, the Alexandria database).

abc: 3.039 3.039 8.526
angles: 90.00 90.00 90.00
Fractional positions:
1 Re 0.000 0.000 0.037
2 Re 0.500 0.500 0.216
3 In 0.500 0.500 0.798
4 Sb 0.000 0.000 0.449

Results
Volume = 79 Å³/cell
Magnetization = 0.00 μB/cell
N(E_F) = 1.6 states/eV/cell
ρ = 12.85 Mg/m³
Symmetry = P4mm (99)
Total energy = -30.78 eV/cell
Excess energy over the best structure of this formula in the dataset = 0.0 meV per atom

***

# 3
# Mn2TcIr2

Crystalline Mn2TcIr2 at its relaxed geometry (PBE, the Alexandria database).

abc: 7.058 7.058 2.678
angles: 90.00 90.00 90.00
Fractional positions:
1 Mn 0.882 0.618 0.000
2 Mn 0.618 0.118 0.000
3 Mn 0.382 0.882 0.000
4 Mn 0.118 0.382 0.000
5 Tc 0.500 0.500 0.000
6 Tc 0.000 0.000 0.000
7 Ir 0.823 0.323 0.500
8 Ir 0.323 0.177 0.500
9 Ir 0.177 0.677 0.500
10 Ir 0.677 0.823 0.500

Results
Volume = 133 Å³/cell
Magnetization = 0.00 μB/cell
N(E_F) = 10.0 states/eV/cell
ρ = 14.75 Mg/m³
ΔE_f = 25 meV/atom
Symmetry = P4/mbm (127)
Total energy = -92.61 eV/cell
Excess energy over the best structure of this formula in the dataset = 0.0 meV per atom

***

# 4
# Dy6SnTe3S2

Crystalline Dy6SnTe3S2 at its relaxed geometry (PBE, the Alexandria database).

abc: 7.215 7.215 7.479
angles: 99.28 99.28 119.87
Fractional positions:
1 Te 0.840 0.160 0.500
2 Te 0.160 0.840 0.500
3 Te 0.500 0.500 0.500
4 Dy 0.577 0.928 0.782
5 Dy 0.928 0.577 0.782
6 Dy 0.719 0.719 0.212
7 Dy 0.423 0.072 0.218
8 Dy 0.072 0.423 0.218
9 Dy 0.281 0.281 0.788
10 S 0.332 0.668 0.000
11 S 0.668 0.332 0.000
12 Sn 0.000 0.000 0.000

Results
Volume = 320 Å³/cell
Magnetization = 0.00 μB/cell
N(E_F) = 5.6 states/eV/cell
ρ = 8.00 Mg/m³
Symmetry = C2/m (12)
Total energy = -66.57 eV/cell

***

# 5
# TiTe2IBr

Crystalline TiTe2IBr at its relaxed geometry (PBE, the Alexandria database).

abc: 5.354 5.354 5.447
angles: 90.00 90.00 90.00
Fractional positions:
1 Te 0.500 0.000 0.000
2 Te 0.000 0.500 0.000
3 I 0.000 0.000 0.500
4 Br 0.500 0.500 0.500
5 Ti 0.000 0.000 0.000

Results
Volume = 156 Å³/cell
Magnetization = 0.00 μB/cell
N(E_F) = 7.1 states/eV/cell
ρ = 5.42 Mg/m³
Symmetry = P4/mmm (123)
Total energy = -18.11 eV/cell
Excess energy over the best structure of this formula in the dataset = 0.0 meV per atom

***

# 6
# NaHg2Ir

Crystalline NaHg2Ir at its relaxed geometry (PBE, the Alexandria database).

abc: 4.775 4.775 4.775
angles: 60.00 60.00 60.00
Fractional positions:
1 Hg 0.250 0.250 0.250
2 Hg 0.750 0.750 0.750
3 Na 0.000 0.000 0.000
4 Ir 0.500 0.500 0.500

Results
Volume = 77 Å³/cell
Magnetization = 0.00 μB/cell
N(E_F) = 1.6 states/eV/cell
ρ = 13.30 Mg/m³
ΔE_f = 199 meV/atom
Symmetry = Fm-3m (225)
Total energy = -9.99 eV/cell
Excess energy over the best structure of this formula in the dataset = 0.0 meV per atom